Material: Rb2Se2S
Method: DFT, meta-GGA SCAN
State: single point on PBEsol structure

Cell lengths 3.8478, 3.8478, 10.2806 Å; angles 100.79, 100.79, 90.00 degrees
Closest atoms and distances in Å follow each position.
Fractional coordinates of all 5 atoms:
1 Se 0.2500 0.7500 0.5000  4 Se 2.72
2 S 0.0000 0.0000 0.0000  8 Rb 3.30
3 Rb 0.4057 0.4057 0.8114  4 S 3.30, 4 Se 3.64
4 Rb 0.5943 0.5943 0.1886  4 S 3.30, 4 Se 3.64
5 Se 0.7500 0.2500 0.5000  4 Se 2.72

The uncorrected energy comes out at -94.92 eV for the cell shown. As for the formation energy from raw total energies: -3.65 eV per formula unit. The density of states at the Fermi level comes out at 1.402 states/eV per cell.

***

Material: TcAg3Se
Method: DFT, meta-GGA SCAN
State: single point on PBEsol structure

Cell lengths 4.9625, 4.9625, 4.9625 Å; angles 90.00, 90.00, 90.00 degrees
Closest atoms and distances in Å follow each position.
Fractional coordinates of all 5 atoms:
1 Ag 0.0000 0.5000 0.0000  2 Tc 2.48
2 Tc 0.0000 0.0000 0.0000  6 Ag 2.48
3 Ag 0.0000 0.0000 0.5000  2 Tc 2.48
4 Ag 0.5000 0.0000 0.0000  2 Tc 2.48
5 Se 0.5000 0.5000 0.5000  12 Ag 3.51

The uncorrected energy comes out at -141.71 eV for the cell shown. As for the formation energy from raw total energies: 7.53 eV per formula unit. The density of states at the Fermi level comes out at 4.055 states/eV per cell.

***

Material: TiBrNO2
Method: DFT, meta-GGA SCAN
State: single point on PBEsol structure

Cell lengths 3.9341, 3.9341, 3.8695 Å; angles 90.00, 90.00, 90.00 degrees
Closest atoms and distances in Å follow each position.
Fractional coordinates of all 5 atoms:
1 Ti 0.5000 0.5000 0.5000  8 O 2.76, 4 N 2.78
2 O 0.0000 0.5000 0.0000  2 Br 1.97
3 N 0.0000 0.0000 0.5000  2 Br 1.93
4 Br 0.0000 0.0000 0.0000  2 N 1.93, 4 O 1.97
5 O 0.5000 0.0000 0.0000  2 Br 1.97

The uncorrected energy comes out at -53.90 eV for the cell shown. As for the formation energy from raw total energies: 3.35 eV per formula unit. The density of states at the Fermi level comes out at 2.805 states/eV per cell.

***

Among the records above, which one has the lowest formation energy from raw total energies? Rb2Se2S